First-principles (PBE) data for Cd4Ga2Pb after structural relaxation, as listed in Alexandria via LeMat-Bulk.

Geometry as CIF:
```
data_Cd4Ga2Pb
_cell_length_a 9.358
_cell_length_b 7.734
_cell_length_c 5.459
_cell_angle_alpha 90.00
_cell_angle_beta 123.34
_cell_angle_gamma 90.00
_symmetry_space_group_name_H-M 'C 1 2/m 1'
_symmetry_Int_Tables_number 12
loop_
_symmetry_equiv_pos_as_xyz
'x,y,z'
'-x,-y,-z'
'-x,y,-z'
'x,-y,z'
'x+1/2,y+1/2,z'
'-x+1/2,-y+1/2,-z'
'-x+1/2,y+1/2,-z'
'x+1/2,-y+1/2,z'
loop_
_atom_site_label
_atom_site_type_symbol
_atom_site_fract_x
_atom_site_fract_y
_atom_site_fract_z
_atom_site_occupancy
Cd1 Cd 0.195 0.197 0.197 1
Ga1 Ga 0.000 0.500 0.251 1
Pb1 Pb 0.000 0.000 0.500 1
```

formation energy from the elements = 0.049 eV per atom
energy = -0.0687 hartree per atom
density of states at the Fermi level = 5.99 states/eV/cell